# Ta2Be

A PBEsol-optimized structure of Ta2Be (meta-GGA SCAN, Alexandria).

Structure (extended XYZ):
```
6
Lattice="-2.993 2.993 2.423 2.993 -2.993 2.423 2.993 2.993 -2.423" Properties=species:S:1:pos:R:3 pbc="T T T"
Ta 3.953 0.961 0.000
Ta 0.961 2.032 0.000
Ta 2.032 0.961 2.423
Ta -0.961 2.032 2.423
Be 0.000 0.000 1.211
Be 0.000 0.000 3.634
```

N(E_F)   4.3 states/eV per cell
SG   No. 140
Energy relative to the elements   -131 meV per atom
Electronic total energy   -45.971 eV per atom
Offset from the most stable computed form   0 meV/atom